{
  "formula": "SiAgN3",
  "functional": "PBE",
  "state": "relaxed",
  "e_tot_ev_per_atom": -4.077,
  "e_form_raw_ev_per_atom": 2.5731,
  "space_group": "Pm-3m (221)",
  "n_ef_per_ev_cell": 2.0,
  "lattice_angstrom": [[-0.884, 3.438, 1.997], [-3.201, 0.598, -2.447], [-2.358, -2.101, 2.572]],
  "species": ["N", "N", "N", "Si", "Ag"],
  "fractional_positions": [[0.500, 0.000, 0.000], [0.000, 0.500, 0.000], [0.000, 0.000, 0.500], [0.500, 0.500, 0.500], [0.000, 0.000, 0.000]]
}